NiPPd3 | the Alexandria database | PBE | relaxed; distance to the lowest polymorph of the same formula = 0.00 eV/f.u.; crystal system = cubic; SG = Pm-3m (221); DFT formation energy = 0.2249 eV/atom
1.0
4.443 0.000 0.000
0.000 4.443 0.000
0.000 0.000 4.443
Ni Pd P
1 3 1
Direct
0.500 0.500 0.500 Ni
0.000 0.500 0.000 Pd
0.000 0.000 0.500 Pd
0.500 0.000 0.000 Pd
0.000 0.000 0.000 P

CrRuAu2 | the Alexandria database | PBE | relaxed; distance to the lowest polymorph of the same formula = 0.55 eV/f.u.; crystal system = tetragonal; SG = P4/mmm (123); DFT formation energy = 0.2802 eV/atom
1.0
-1.530 -2.809 -2.278
-0.738 -2.178 3.182
-3.712 1.749 0.336
Au Cr Ru
2 1 1
Direct
0.000 0.000 0.000 Au
0.500 0.500 0.000 Au
0.500 0.000 0.500 Cr
0.000 0.500 0.500 Ru

ReTe3Pt | the Alexandria database | PBE | relaxed; distance to the lowest polymorph of the same formula = 1.25 eV/f.u.; crystal system = cubic; formation energy without anion corrections = 1.348 eV/atom; SG = Pm-3m (221)
1.0
5.264 0.000 0.000
0.000 5.264 0.000
0.000 0.000 5.264
Re Te Pt
1 3 1
Direct
0.500 0.500 0.500 Re
0.000 0.500 0.000 Te
0.000 0.000 0.500 Te
0.500 0.000 0.000 Te
0.000 0.000 0.000 Pt

Li2CeSO8 | the Alexandria database | PBE | relaxed; crystal system = trigonal; formation energy without anion corrections = -1.166 eV/atom; SG = P-3m1 (164)
1.0
5.003 0.000 0.000
-2.502 4.333 0.000
0.000 0.000 5.979
Li Ce S O
2 1 1 8
Direct
0.667 0.333 0.045 Li
0.333 0.667 0.955 Li
0.000 0.000 0.500 Ce
0.000 0.000 0.000 S
0.847 0.694 0.837 O
0.306 0.153 0.837 O
0.847 0.153 0.837 O
0.153 0.306 0.163 O
0.694 0.847 0.163 O
0.153 0.847 0.163 O
0.667 0.333 0.451 O
0.333 0.667 0.549 O

Li2CaHg3 | the Alexandria database | PBE | relaxed; crystal system = tetragonal; SG = P4/mmm (123); DFT formation energy = -0.4107 eV/atom
1.0
3.515 0.000 0.000
0.000 3.515 0.000
0.000 0.000 10.459
Li Ca Hg
2 1 3
Direct
0.500 0.500 0.848 Li
0.500 0.500 0.152 Li
0.500 0.500 0.500 Ca
0.000 0.000 0.000 Hg
0.000 0.000 0.701 Hg
0.000 0.000 0.299 Hg

PmScTcO6 | the Alexandria database | PBE | relaxed; crystal system = trigonal; formation energy without anion corrections = -2.396 eV/atom; SG = P-31c (163)
1.0
-1.277 -1.752 5.056
-0.330 -3.451 -4.271
8.406 -2.401 1.291
Pm Sc Tc O
2 2 2 12
Direct
0.333 0.667 0.250 Pm
0.667 0.333 0.750 Pm
0.000 0.000 0.000 Sc
0.000 0.000 0.500 Sc
0.667 0.333 0.250 Tc
0.333 0.667 0.750 Tc
0.696 0.638 0.126 O
0.942 0.304 0.126 O
0.304 0.942 0.626 O
0.058 0.696 0.874 O
0.362 0.304 0.374 O
0.942 0.638 0.374 O
0.638 0.942 0.874 O
0.696 0.058 0.374 O
0.058 0.362 0.626 O
0.362 0.058 0.126 O
0.638 0.696 0.626 O
0.304 0.362 0.874 O

Copy entry 4 word for word.
Li2CeSO8 | the Alexandria database | PBE | relaxed; crystal system = trigonal; formation energy without anion corrections = -1.166 eV/atom; SG = P-3m1 (164)
1.0
5.003 0.000 0.000
-2.502 4.333 0.000
0.000 0.000 5.979
Li Ce S O
2 1 1 8
Direct
0.667 0.333 0.045 Li
0.333 0.667 0.955 Li
0.000 0.000 0.500 Ce
0.000 0.000 0.000 S
0.847 0.694 0.837 O
0.306 0.153 0.837 O
0.847 0.153 0.837 O
0.153 0.306 0.163 O
0.694 0.847 0.163 O
0.153 0.847 0.163 O
0.667 0.333 0.451 O
0.333 0.667 0.549 O

What did the sixth record say?
PmScTcO6 | the Alexandria database | PBE | relaxed; crystal system = trigonal; formation energy without anion corrections = -2.396 eV/atom; SG = P-31c (163)
1.0
-1.277 -1.752 5.056
-0.330 -3.451 -4.271
8.406 -2.401 1.291
Pm Sc Tc O
2 2 2 12
Direct
0.333 0.667 0.250 Pm
0.667 0.333 0.750 Pm
0.000 0.000 0.000 Sc
0.000 0.000 0.500 Sc
0.667 0.333 0.250 Tc
0.333 0.667 0.750 Tc
0.696 0.638 0.126 O
0.942 0.304 0.126 O
0.304 0.942 0.626 O
0.058 0.696 0.874 O
0.362 0.304 0.374 O
0.942 0.638 0.374 O
0.638 0.942 0.874 O
0.696 0.058 0.374 O
0.058 0.362 0.626 O
0.362 0.058 0.126 O
0.638 0.696 0.626 O
0.304 0.362 0.874 O

Please write out number 1 again, unchanged.
NiPPd3 | the Alexandria database | PBE | relaxed; distance to the lowest polymorph of the same formula = 0.00 eV/f.u.; crystal system = cubic; SG = Pm-3m (221); DFT formation energy = 0.2249 eV/atom
1.0
4.443 0.000 0.000
0.000 4.443 0.000
0.000 0.000 4.443
Ni Pd P
1 3 1
Direct
0.500 0.500 0.500 Ni
0.000 0.500 0.000 Pd
0.000 0.000 0.500 Pd
0.500 0.000 0.000 Pd
0.000 0.000 0.000 P